(1)
# ReAg3Br, optimized geometry, DFT PBEsol
data_ReAg3Br
_cell_length_a 4.9360
_cell_length_b 4.9360
_cell_length_c 4.9360
_cell_angle_alpha 90.00
_cell_angle_beta 90.00
_cell_angle_gamma 90.00
_space_group_name_H-M_alt 'P 1'
_space_group_IT_number 1
_space_group_name_Hall 'P 1'
loop_
_atom_site_label
_atom_site_type_symbol
_atom_site_fract_x
_atom_site_fract_y
_atom_site_fract_z
Re1 Re 0.5000 0.5000 0.5000
Ag1 Ag 0.5000 0.0000 0.0000
Ag2 Ag 0.0000 0.0000 0.5000
Ag3 Ag 0.0000 0.5000 0.0000
Br1 Br 0.0000 0.0000 0.0000
# Energy relative to the elements, uncorrected: 910 kJ/mol of formula units
# Excess energy over the best structure of this formula in the dataset: 233 meV per atom



(2)
# Ca4ScOs, optimized geometry, DFT PBEsol
data_Ca4ScOs
_cell_length_a 6.0538
_cell_length_b 6.0538
_cell_length_c 6.0538
_cell_angle_alpha 60.00
_cell_angle_beta 60.00
_cell_angle_gamma 60.00
_space_group_name_H-M_alt 'P 1'
_space_group_IT_number 1
_space_group_name_Hall 'P 1'
loop_
_atom_site_label
_atom_site_type_symbol
_atom_site_fract_x
_atom_site_fract_y
_atom_site_fract_z
Ca1 Ca 0.3771 0.8687 0.3771
Ca2 Ca 0.8687 0.3771 0.3771
Ca3 Ca 0.3771 0.3771 0.3771
Ca4 Ca 0.3771 0.3771 0.8687
Sc1 Sc 0.0000 0.0000 0.0000
Os1 Os 0.7500 0.7500 0.7500
# Energy relative to the elements: 1063 meV/atom



(3)
# LaTcAg2, optimized geometry, DFT PBEsol
data_LaTcAg2
_cell_length_a 4.0166
_cell_length_b 4.0166
_cell_length_c 5.5122
_cell_angle_alpha 111.37
_cell_angle_beta 111.37
_cell_angle_gamma 90.00
_space_group_name_H-M_alt 'P 1'
_space_group_IT_number 1
_space_group_name_Hall 'P 1'
loop_
_atom_site_label
_atom_site_type_symbol
_atom_site_fract_x
_atom_site_fract_y
_atom_site_fract_z
La1 La 0.5000 0.5000 0.0000
Tc1 Tc 0.0000 0.0000 0.0000
Ag1 Ag 0.7500 0.2500 0.5000
Ag2 Ag 0.2500 0.7500 0.5000
# Energy relative to the elements: 294 meV/atom
# Excess energy over the best structure of this formula in the dataset: 0 meV per atom



(4)
# EuMg5, optimized geometry, DFT PBEsol
data_EuMg5
_cell_length_a 10.2372
_cell_length_b 10.2372
_cell_length_c 10.4077
_cell_angle_alpha 90.00
_cell_angle_beta 90.00
_cell_angle_gamma 120.00
_space_group_name_H-M_alt 'P 1'
_space_group_IT_number 1
_space_group_name_Hall 'P 1'
loop_
_atom_site_label
_atom_site_type_symbol
_atom_site_fract_x
_atom_site_fract_y
_atom_site_fract_z
Mg1 Mg 0.6759 0.8379 0.9106
Mg2 Mg 0.8379 0.1621 0.4106
Mg3 Mg 0.1621 0.3241 0.5894
Mg4 Mg 0.0000 0.0000 0.5000
Mg5 Mg 0.1356 0.5678 0.7500
Mg6 Mg 0.6667 0.3333 0.9914
Mg7 Mg 0.3333 0.6667 0.4914
Mg8 Mg 0.1621 0.8379 0.9106
Mg9 Mg 0.6759 0.8379 0.5894
Mg10 Mg 0.5678 0.4322 0.2500
Mg11 Mg 0.3241 0.1621 0.4106
Mg12 Mg 0.0000 0.0000 0.0000
Mg13 Mg 0.8379 0.1621 0.0894
Mg14 Mg 0.8379 0.6759 0.0894
Mg15 Mg 0.0000 0.5000 0.5000
Mg16 Mg 0.5000 0.5000 0.0000
Mg17 Mg 0.5678 0.1356 0.2500
Mg18 Mg 0.6667 0.3333 0.5085
Mg19 Mg 0.5000 0.0000 0.0000
Mg20 Mg 0.3333 0.6667 0.0086
Mg21 Mg 0.0000 0.5000 0.0000
Mg22 Mg 0.4322 0.8644 0.7500
Mg23 Mg 0.5000 0.5000 0.5000
Mg24 Mg 0.8644 0.4322 0.2500
Mg25 Mg 0.1621 0.8379 0.5894
Mg26 Mg 0.8379 0.6759 0.4106
Mg27 Mg 0.4322 0.5678 0.7500
Mg28 Mg 0.3241 0.1621 0.0894
Mg29 Mg 0.5000 0.0000 0.5000
Mg30 Mg 0.1621 0.3241 0.9106
Eu1 Eu 0.6203 0.8102 0.2500
Eu2 Eu 0.1898 0.3797 0.2500
Eu3 Eu 0.8102 0.6203 0.7500
Eu4 Eu 0.3797 0.1898 0.7500
Eu5 Eu 0.8102 0.1898 0.7500
Eu6 Eu 0.1898 0.8102 0.2500
# Energy relative to the elements: -27 meV/atom



(5)
# MoOs2, optimized geometry, DFT PBEsol
data_MoOs2
_cell_length_a 4.1562
_cell_length_b 4.1562
_cell_length_c 4.1562
_cell_angle_alpha 60.00
_cell_angle_beta 60.00
_cell_angle_gamma 60.00
_space_group_name_H-M_alt 'P 1'
_space_group_IT_number 1
_space_group_name_Hall 'P 1'
loop_
_atom_site_label
_atom_site_type_symbol
_atom_site_fract_x
_atom_site_fract_y
_atom_site_fract_z
Mo1 Mo 0.0000 0.0000 0.0000
Os1 Os 0.7500 0.7500 0.7500
Os2 Os 0.2500 0.2500 0.2500
# Energy relative to the elements: 795 meV/atom
# Excess energy over the best structure of this formula in the dataset: 817 meV per atom



(6)
# Ca3Y, optimized geometry, DFT PBEsol
data_Ca3Y
_cell_length_a 3.7225
_cell_length_b 3.7225
_cell_length_c 12.4305
_cell_angle_alpha 90.00
_cell_angle_beta 90.00
_cell_angle_gamma 120.00
_space_group_name_H-M_alt 'P 1'
_space_group_IT_number 1
_space_group_name_Hall 'P 1'
loop_
_atom_site_label
_atom_site_type_symbol
_atom_site_fract_x
_atom_site_fract_y
_atom_site_fract_z
Y1 Y 0.3333 0.6667 0.5000
Ca1 Ca 0.3333 0.6667 0.0000
Ca2 Ca 0.0000 0.0000 0.7388
Ca3 Ca 0.0000 0.0000 0.2612
# Energy relative to the elements: 76 meV/atom
# Excess energy over the best structure of this formula in the dataset: 0 meV per atom



(7)
# PrAlCu, optimized geometry, DFT PBEsol
data_PrAlCu
_cell_length_a 4.2592
_cell_length_b 7.1424
_cell_length_c 7.1424
_cell_angle_alpha 120.00
_cell_angle_beta 90.00
_cell_angle_gamma 90.00
_space_group_name_H-M_alt 'P 1'
_space_group_IT_number 1
_space_group_name_Hall 'P 1'
loop_
_atom_site_label
_atom_site_type_symbol
_atom_site_fract_x
_atom_site_fract_y
_atom_site_fract_z
Pr1 Pr 0.5000 0.0000 0.5849
Pr2 Pr 0.5000 0.4151 0.4151
Pr3 Pr 0.5000 0.5849 0.0000
Cu1 Cu 0.0000 0.3333 0.6667
Cu2 Cu 0.5000 0.0000 0.0000
Cu3 Cu 0.0000 0.6667 0.3333
Al1 Al 0.0000 0.2270 0.0000
Al2 Al 0.0000 0.7730 0.7730
Al3 Al 0.0000 0.0000 0.2270
# Energy relative to the elements: -358 meV/atom



(8)
# UMn2, optimized geometry, DFT PBEsol
data_UMn2
_cell_length_a 4.3284
_cell_length_b 4.9859
_cell_length_c 4.9859
_cell_angle_alpha 61.69
_cell_angle_beta 64.27
_cell_angle_gamma 64.27
_space_group_name_H-M_alt 'P 1'
_space_group_IT_number 1
_space_group_name_Hall 'P 1'
loop_
_atom_site_label
_atom_site_type_symbol
_atom_site_fract_x
_atom_site_fract_y
_atom_site_fract_z
Mn1 Mn 0.5000 0.0000 0.0000
Mn2 Mn 0.0000 0.5000 0.0000
Mn3 Mn 0.5000 0.5000 0.0000
Mn4 Mn 0.5000 0.5000 0.5000
U1 U 0.1357 0.1143 0.6143
U2 U 0.8643 0.8857 0.3857
# Energy relative to the elements: -31 meV/atom



(9)
# GaGe3Pt, optimized geometry, DFT PBEsol
data_GaGe3Pt
_cell_length_a 4.8433
_cell_length_b 4.8433
_cell_length_c 4.8433
_cell_angle_alpha 90.00
_cell_angle_beta 90.00
_cell_angle_gamma 90.00
_space_group_name_H-M_alt 'P 1'
_space_group_IT_number 1
_space_group_name_Hall 'P 1'
loop_
_atom_site_label
_atom_site_type_symbol
_atom_site_fract_x
_atom_site_fract_y
_atom_site_fract_z
Pt1 Pt 0.0000 0.0000 0.0000
Ge1 Ge 0.0000 0.0000 0.5000
Ge2 Ge 0.5000 0.0000 0.0000
Ge3 Ge 0.0000 0.5000 0.0000
Ga1 Ga 0.5000 0.5000 0.5000
# Energy relative to the elements: 380 meV/atom



(10)
# Li2ScPt, optimized geometry, DFT PBEsol
data_Li2ScPt
_cell_length_a 3.6464
_cell_length_b 3.8858
_cell_length_c 5.2333
_cell_angle_alpha 111.79
_cell_angle_beta 110.39
_cell_angle_gamma 90.00
_space_group_name_H-M_alt 'P 1'
_space_group_IT_number 1
_space_group_name_Hall 'P 1'
loop_
_atom_site_label
_atom_site_type_symbol
_atom_site_fract_x
_atom_site_fract_y
_atom_site_fract_z
Sc1 Sc 0.5000 0.0000 0.0000
Pt1 Pt 0.0000 0.5000 0.0000
Li1 Li 0.2553 0.2553 0.5107
Li2 Li 0.7447 0.7447 0.4893
# Energy relative to the elements: -538 meV/atom
# Excess energy over the best structure of this formula in the dataset: 0 meV per atom



(11)
# TlHg2P, optimized geometry, DFT PBEsol
data_TlHg2P
_cell_length_a 2.9970
_cell_length_b 5.6058
_cell_length_c 6.1158
_cell_angle_alpha 117.28
_cell_angle_beta 90.00
_cell_angle_gamma 90.00
_space_group_name_H-M_alt 'P 1'
_space_group_IT_number 1
_space_group_name_Hall 'P 1'
loop_
_atom_site_label
_atom_site_type_symbol
_atom_site_fract_x
_atom_site_fract_y
_atom_site_fract_z
Tl1 Tl 0.5000 0.5000 0.0000
Hg1 Hg 0.0000 0.0000 0.5000
Hg2 Hg 0.0000 0.5000 0.5000
P1 P 0.5000 0.0000 0.0000
# Energy relative to the elements: 365 meV/atom
# Excess energy over the best structure of this formula in the dataset: 203 meV per atom



(12)
# CsHfS2Cl, optimized geometry, DFT PBEsol
data_CsHfS2Cl
_cell_length_a 5.3077
_cell_length_b 5.3077
_cell_length_c 5.6601
_cell_angle_alpha 90.00
_cell_angle_beta 90.00
_cell_angle_gamma 90.00
_space_group_name_H-M_alt 'P 1'
_space_group_IT_number 1
_space_group_name_Hall 'P 1'
loop_
_atom_site_label
_atom_site_type_symbol
_atom_site_fract_x
_atom_site_fract_y
_atom_site_fract_z
Hf1 Hf 0.5000 0.5000 0.5000
S1 S 0.5000 0.0000 0.0000
S2 S 0.0000 0.5000 0.0000
Cl1 Cl 0.0000 0.0000 0.5000
Cs1 Cs 0.0000 0.0000 0.0000
# Energy relative to the elements, uncorrected: 551 kJ/mol of formula units
# Excess energy over the best structure of this formula in the dataset: 2712 meV per atom



| no. | E (eV per atom) |
| --- | --- |
| 1 | -3.140 |
| 2 | -3.496 |
| 3 | -5.515 |
| 4 | -3.218 |
| 5 | -11.271 |
| 6 | -3.230 |
| 7 | -4.895 |
| 8 | -10.591 |
| 9 | -4.644 |
| 10 | -4.913 |
| 11 | -2.024 |
| 12 | -3.303 |